A relaxed structure of ZnS, computed with PBE.

Results
E_tot, eV/atom: -3.51
Calculated density, g cm⁻³: 4.1
Symmetry: No. 186

Lattice parameters (Å, degrees): 3.837 3.837 31.332 90.00 90.00 120.00
Element x y z (fractional)
Zn  0.000  0.000  0.000
Zn  0.000  0.000  0.200
Zn  0.000  0.000  0.500
Zn  0.000  0.000  0.700
Zn  0.333  0.667  0.100
Zn  0.333  0.667  0.400
Zn  0.333  0.667  0.800
Zn  0.667  0.333  0.300
Zn  0.667  0.333  0.600
Zn  0.667  0.333  0.900
S  0.000  0.000  0.075
S  0.000  0.000  0.275
S  0.000  0.000  0.575
S  0.000  0.000  0.775
S  0.333  0.667  0.175
S  0.333  0.667  0.475
S  0.333  0.667  0.875
S  0.667  0.333  0.375
S  0.667  0.333  0.675
S  0.667  0.333  0.975